Compound: HfSc2CrSi
Source: Alexandria via LeMat-Bulk
Functional: GGA-PBE
Structure: relaxed

Cell lengths 4.6671, 4.6026, 4.6671 Å; angles 90.00, 90.00, 90.00 degrees
Sites, in units of the cell vectors:
Sc (0.0000, 0.0000, 0.5000)
Sc (0.5000, 0.0000, 0.0000)
Cr (0.0000, 0.0000, 0.0000)
Si (0.0000, 0.5000, 0.0000)
Hf (0.5000, 0.5000, 0.5000)

The space group is P4/mmm (123). The calculation puts the raw formation energy at 0.394 eV per atom.

=====

Compound: SrHfScCr2
Source: Alexandria via LeMat-Bulk
Functional: GGA-PBE
Structure: relaxed

Cell lengths 4.7599, 5.3427, 4.7599 Å; angles 90.00, 90.00, 90.00 degrees
Sites, in units of the cell vectors:
Sc (0.0000, 0.5000, 0.0000)
Sr (0.5000, 0.5000, 0.5000)
Hf (0.0000, 0.0000, 0.0000)
Cr (0.0000, 0.0000, 0.5000)
Cr (0.5000, 0.0000, 0.0000)

As for the formation energy: 1307 meV/atom. The space group is P4/mmm (123). The value obtained for the energy above the most stable polymorph in this dataset is 0 meV/atom.

=====

Compound: SrHfSc2Cr
Source: Alexandria via LeMat-Bulk
Functional: GGA-PBE
Structure: relaxed

Cell lengths 5.0710, 4.9248, 5.0710 Å; angles 90.00, 90.00, 90.00 degrees
Sites, in units of the cell vectors:
Sc (0.0000, 0.0000, 0.5000)
Sc (0.5000, 0.0000, 0.0000)
Sr (0.0000, 0.0000, 0.0000)
Hf (0.5000, 0.5000, 0.5000)
Cr (0.0000, 0.5000, 0.0000)

As for the formation energy: 1633 meV/atom. The space group is P4/mmm (123).

=====

Compound: SrHfScCr2
Source: Alexandria via LeMat-Bulk
Functional: GGA-PBE
Structure: relaxed

Cell lengths 4.5838, 5.1428, 4.5838 Å; angles 90.00, 90.00, 90.00 degrees
Sites, in units of the cell vectors:
Sc (0.0000, 0.0000, 0.0000)
Sr (0.0000, 0.5000, 0.0000)
Hf (0.5000, 0.5000, 0.5000)
Cr (0.0000, 0.0000, 0.5000)
Cr (0.5000, 0.0000, 0.0000)

As for the formation energy: 1772 meV/atom. The space group is P4/mmm (123). The value obtained for the energy above the most stable polymorph in this dataset is 464 meV/atom.

=====

Compound: HfScTaCr2
Source: Alexandria via LeMat-Bulk
Functional: GGA-PBE
Structure: relaxed

Cell lengths 4.3621, 4.8352, 4.3621 Å; angles 90.00, 90.00, 90.00 degrees
Sites, in units of the cell vectors:
Sc (0.0000, 0.0000, 0.0000)
Cr (0.0000, 0.0000, 0.5000)
Cr (0.5000, 0.0000, 0.0000)
Hf (0.5000, 0.5000, 0.5000)
Ta (0.0000, 0.5000, 0.0000)

As for the formation energy: 1565 meV/atom. The space group is P4/mmm (123).

=====

Compound: HfScCrTe2
Source: Alexandria via LeMat-Bulk
Functional: GGA-PBE
Structure: relaxed

Cell lengths 5.4578, 5.2675, 5.4578 Å; angles 90.00, 90.00, 90.00 degrees
Sites, in units of the cell vectors:
Sc (0.0000, 0.5000, 0.0000)
Cr (0.5000, 0.5000, 0.5000)
Te (0.0000, 0.0000, 0.5000)
Te (0.5000, 0.0000, 0.0000)
Hf (0.0000, 0.0000, 0.0000)

The space group is P4/mmm (123). The calculation puts the raw formation energy at 1.134 eV per atom.

=====

| no. | volume (Å³/cell) |
| --- | --- |
| 1 | 100.3 |
| 2 | 121.0 |
| 3 | 126.6 |
| 4 | 108.1 |
| 5 | 92.0 |
| 6 | 156.9 |